Below is crystalline Tl2CrAu at its relaxed geometry, with properties calculated at the PBE level.

Values from the calculation:
* E above lowest polymorph: 0.194 eV per atom
* calculated total energy: -15.9 eV per formula unit
* density of states at the Fermi level: 2.0 states/eV/f.u.
* crystal system: tetragonal
* energy relative to the elements: 1.77 eV per formula unit

Lattice parameters (Å, degrees): 4.3595 4.3595 20.3054 90.00 90.00 90.00
Space group I-42d (No. 122)
One atom of each set of equivalent atoms:
Tl (0.2468, 0.2500, 0.1250) x8
Cr (0.0000, 0.0000, 0.0000) x4
Au (0.0000, 0.0000, 0.5000) x4